Record 1
Rb2HPb | PBE-GGA | relaxed

a b c (Å): 6.1979 6.1979 6.1979
angles (deg): 60.00 60.00 60.00
Atoms (fractional coordinates):
Rb 0.2500 0.2500 0.2500
Rb 0.7500 0.7500 0.7500
H 0.0000 0.0000 0.0000
Pb 0.5000 0.5000 0.5000

Values from the calculation:
* polymorph energy (0 for the lowest one): 266.7 meV per atom
* V: 168.35 Å³ per cell



Record 2
RbHPb3 | PBE-GGA | relaxed

a b c (Å): 5.2115 5.2115 5.2115
angles (deg): 90.00 90.00 90.00
Atoms (fractional coordinates):
Rb 0.0000 0.0000 0.0000
H 0.5000 0.5000 0.5000
Pb 0.0000 0.5000 0.5000
Pb 0.5000 0.0000 0.5000
Pb 0.5000 0.5000 0.0000

Values from the calculation:
* polymorph energy (0 for the lowest one): 0.0 meV per atom
* V: 141.55 Å³ per cell



Record 3
Rb2HPb | PBE-GGA | relaxed

a b c (Å): 7.5669 7.5669 7.5669
angles (deg): 113.98 113.98 100.79
Atoms (fractional coordinates):
Rb 0.0143 0.6250 0.8893
Rb 0.3750 0.2643 0.3893
Rb 0.7357 0.1250 0.1107
Rb 0.8750 0.9857 0.6107
H 0.0000 0.0000 0.0000
H 0.7500 0.2500 0.5000
Pb 0.2500 0.7500 0.5000
Pb 0.5000 0.5000 0.0000

Values from the calculation:
* polymorph energy (0 for the lowest one): 61.7 meV per atom
* V: 327.91 Å³ per cell



Record 4
RbHRh2Pb | PBE-GGA | relaxed

a b c (Å): 5.2125 5.2125 3.5389
angles (deg): 90.00 90.00 90.00
Atoms (fractional coordinates):
Rb 0.0000 0.0000 0.0000
H 0.0000 0.0000 0.5000
Rh 0.0000 0.5000 0.0000
Rh 0.5000 0.0000 0.0000
Pb 0.5000 0.5000 0.5000

Values from the calculation:
* V: 96.15 Å³ per cell
* final energy: -3.051 eV per atom



Record 5
Rb2H6RhPb | PBE-GGA | relaxed

a b c (Å): 5.9963 5.9963 6.3018
angles (deg): 90.00 90.00 120.00
Atoms (fractional coordinates):
Rb 0.3333 0.6667 0.1642
Rb 0.6667 0.3333 0.8358
H 0.1298 0.2597 0.8374
H 0.1298 0.8702 0.8374
H 0.2597 0.1298 0.1626
H 0.7403 0.8702 0.8374
H 0.8702 0.1298 0.1626
H 0.8702 0.7403 0.1626
Rh 0.0000 0.0000 0.0000
Pb 0.0000 0.0000 0.5000

Values from the calculation:
* V: 196.23 Å³ per cell
* final energy: -3.417 eV per atom



Record 6
Rb2H6RuPb | PBE-GGA | relaxed

a b c (Å): 6.1493 6.1493 5.9733
angles (deg): 90.00 90.00 120.00
Atoms (fractional coordinates):
Rb 0.3333 0.6667 0.1495
Rb 0.6667 0.3333 0.8505
H 0.1360 0.2720 0.8370
H 0.1360 0.8640 0.8370
H 0.2720 0.1360 0.1630
H 0.7280 0.8640 0.8370
H 0.8640 0.1360 0.1630
H 0.8640 0.7280 0.1630
Ru 0.0000 0.0000 0.0000
Pb 0.0000 0.0000 0.5000

Values from the calculation:
* V: 195.61 Å³ per cell
* final energy: -3.516 eV per atom